[1]
# Th2NiS6 PBE relaxed
data_Th2NiS6
_space_group_name_H-M_alt 'P 1'
_space_group_IT_number 1
_cell_length_a 6.0665
_cell_length_b 6.0665
_cell_length_c 12.1120
_cell_angle_alpha 90.00
_cell_angle_beta 90.00
_cell_angle_gamma 90.00
loop_
_space_group_symop_operation_xyz
'x,y,z'
loop_
_atom_site_label
_atom_site_type_symbol
_atom_site_fract_x
_atom_site_fract_y
_atom_site_fract_z
_atom_site_occupancy
Th1 Th 0.0000 0.0000 0.1675 1
Th2 Th 0.0000 0.0000 0.8325 1
Th3 Th 0.5000 0.5000 0.3325 1
Th4 Th 0.5000 0.5000 0.6675 1
Ni1 Ni 0.0000 0.0000 0.5000 1
Ni2 Ni 0.5000 0.5000 0.0000 1
S1 S 0.1797 0.1797 0.3586 1
S2 S 0.1797 0.1797 0.6414 1
S3 S 0.2209 0.2209 0.0000 1
S4 S 0.2791 0.7209 0.5000 1
S5 S 0.3203 0.6797 0.1414 1
S6 S 0.3203 0.6797 0.8586 1
S7 S 0.6797 0.3203 0.1414 1
S8 S 0.6797 0.3203 0.8586 1
S9 S 0.7209 0.2791 0.5000 1
S10 S 0.7791 0.7791 0.0000 1
S11 S 0.8203 0.8203 0.3586 1
S12 S 0.8203 0.8203 0.6414 1
# Space-group type ... P4_2/mnm, No. 136
# Formation energy from raw total energies ... -1.03 eV per atom

[2]
# AgSnPt6 PBE relaxed
data_AgSnPt6
_space_group_name_H-M_alt 'P 1'
_space_group_IT_number 1
_cell_length_a 4.0454
_cell_length_b 4.0454
_cell_length_c 7.9951
_cell_angle_alpha 90.00
_cell_angle_beta 90.00
_cell_angle_gamma 90.00
loop_
_space_group_symop_operation_xyz
'x,y,z'
loop_
_atom_site_label
_atom_site_type_symbol
_atom_site_fract_x
_atom_site_fract_y
_atom_site_fract_z
_atom_site_occupancy
Ag1 Ag 0.0000 0.0000 0.0000 1
Sn1 Sn 0.0000 0.0000 0.5000 1
Pt1 Pt 0.0000 0.5000 0.2500 1
Pt2 Pt 0.0000 0.5000 0.7500 1
Pt3 Pt 0.5000 0.0000 0.2500 1
Pt4 Pt 0.5000 0.0000 0.7500 1
Pt5 Pt 0.5000 0.5000 0.0000 1
Pt6 Pt 0.5000 0.5000 0.5000 1
# ΔE_f ... -0.16 eV/atom
# Space-group type ... P4/mmm, No. 123

[3]
# Zr2HgRu PBE relaxed
data_Zr2HgRu
_space_group_name_H-M_alt 'P 1'
_space_group_IT_number 1
_cell_length_a 5.4102
_cell_length_b 5.4102
_cell_length_c 5.4102
_cell_angle_alpha 135.06
_cell_angle_beta 135.06
_cell_angle_gamma 65.43
loop_
_space_group_symop_operation_xyz
'x,y,z'
loop_
_atom_site_label
_atom_site_type_symbol
_atom_site_fract_x
_atom_site_fract_y
_atom_site_fract_z
_atom_site_occupancy
Zr1 Zr 0.0000 0.0000 0.0000 1
Zr2 Zr 0.7500 0.2500 0.5000 1
Hg1 Hg 0.2500 0.7500 0.5000 1
Ru1 Ru 0.5000 0.5000 0.0000 1
# ΔE_f ... -0.12 eV/atom
# Space-group type ... I-4m2, No. 119

[4]
# TmGe2Ru PBE relaxed
data_TmGe2Ru
_space_group_name_H-M_alt 'P 1'
_space_group_IT_number 1
_cell_length_a 5.3661
_cell_length_b 5.3661
_cell_length_c 5.3661
_cell_angle_alpha 45.92
_cell_angle_beta 45.92
_cell_angle_gamma 45.92
loop_
_space_group_symop_operation_xyz
'x,y,z'
loop_
_atom_site_label
_atom_site_type_symbol
_atom_site_fract_x
_atom_site_fract_y
_atom_site_fract_z
_atom_site_occupancy
Tm1 Tm 0.0000 0.0000 0.0000 1
Ge1 Ge 0.2235 0.2235 0.2235 1
Ge2 Ge 0.7765 0.7765 0.7765 1
Ru1 Ru 0.5000 0.5000 0.5000 1
# ΔE_f ... -0.57 eV/atom
# Space-group type ... R-3m, No. 166

M_tot / μB/f.u.: 0.00, 0.00, 0.00, 0.00